i) The following is a DFT calculation (SCAN) of Mg16Al12Zn at its PBEsol-relaxed geometry.

extended XYZ file:
```
29
Lattice="7.3306 4.2323 3.0422 -7.3306 4.2323 3.0422 0.0000 -8.4647 3.0422" Properties=species:S:1:pos:R:3 pbc="T T T"
Mg 0.0000 0.0000 0.0000
Mg 0.0000 -5.5145 1.9994
Mg -4.7757 2.7572 1.9994
Mg -2.9399 -4.0559 3.3109
Mg -4.9824 -0.5181 3.3109
Mg -2.1495 -1.2410 4.4776
Mg 0.0000 -3.3846 4.1062
Mg -2.9311 1.6923 4.1062
Mg 2.9399 -4.0559 3.3109
Mg -2.0426 4.5740 3.3109
Mg 2.1495 -1.2410 4.4776
Mg 0.0000 2.4821 4.4776
Mg 4.7757 2.7572 1.9994
Mg 4.9825 -0.5181 3.3109
Mg 2.0426 4.5740 3.3109
Mg 2.9312 1.6923 4.1062
Al -1.3408 -6.1247 4.7190
Al -5.9745 1.9012 4.7190
Al -4.5631 -2.6345 5.5316
Al 1.3408 -6.1247 4.7190
Al -4.6338 4.2235 4.7190
Al 0.0000 -1.5926 6.4303
Al -1.3792 0.7963 6.4303
Al 4.5631 -2.6345 5.5316
Al 0.0000 5.2690 5.5316
Al 1.3792 0.7963 6.4303
Al 5.9745 1.9012 4.7190
Al 4.6338 4.2235 4.7190
Zn 0.0000 0.0000 2.8326
```

The value obtained for the density is 2.3 Mg/m³.

***

ii) The following is a DFT calculation (SCAN) of Mg16Al12Zn at its PBEsol-relaxed geometry.

extended XYZ file:
```
29
Lattice="-5.2210 5.2210 5.2210 5.2210 -5.2210 5.2210 5.2210 5.2210 -5.2210" Properties=species:S:1:pos:R:3 pbc="T T T"
Mg 1.7284 1.7284 -1.7284
Mg 4.7613 1.4889 -1.4889
Mg 1.7284 -1.7284 1.7284
Mg 4.7613 -1.4889 1.4889
Mg 5.6807 1.4889 1.4889
Mg 1.4889 4.7613 -1.4889
Mg 1.4889 -1.4889 4.7613
Mg -1.7284 1.7284 1.7284
Mg 3.7321 3.7321 0.4597
Mg 3.7321 0.4597 3.7321
Mg -1.4889 4.7613 1.4889
Mg -1.4889 1.4889 4.7613
Mg 3.4926 3.4926 3.4926
Mg 1.4889 5.6807 1.4889
Mg 1.4889 1.4889 5.6807
Mg 0.4597 3.7321 3.7321
Al 7.5503 0.9532 -0.9532
Al 7.5503 -0.9532 0.9532
Al 2.8917 0.9532 0.9532
Al 4.2678 4.2678 -2.3293
Al 4.2678 -2.3293 4.2678
Al 0.9532 2.8917 0.9532
Al 0.9532 0.9532 2.8917
Al 0.9532 7.5503 -0.9532
Al 0.9532 -0.9532 7.5503
Al -0.9532 7.5503 0.9532
Al -0.9532 0.9532 7.5503
Al -2.3293 4.2678 4.2678
Zn 0.0000 0.0000 0.0000
```

The value obtained for the density is 2.3 Mg/m³.

***

iii) The following is a DFT calculation (SCAN) of Mg16Al12Zn at its PBEsol-relaxed geometry.

extended XYZ file:
```
29
Lattice="5.2056 -7.3347 0.0000 5.2056 7.3347 0.0000 -5.1243 0.0000 7.3938" Properties=species:S:1:pos:R:3 pbc="T T T"
Mg 0.0000 0.0000 0.0000
Mg -1.4265 2.3302 4.4599
Mg -3.2781 2.5612 7.3900
Mg 1.5081 4.3847 2.3798
Mg -1.7400 0.0000 2.5922
Mg 1.5481 2.8365 5.1026
Mg -1.4265 -2.3302 4.4599
Mg -0.3081 1.9755 7.3718
Mg -3.2781 -2.5612 7.3900
Mg 3.7667 2.2857 2.9842
Mg -0.3081 -1.9755 7.3718
Mg 1.5081 -4.3847 2.3798
Mg 3.2449 0.0000 4.9174
Mg 1.5481 -2.8365 5.1026
Mg 5.6840 0.0000 2.1737
Mg 3.7667 -2.2857 2.9842
Al 0.9956 5.9679 4.7182
Al -0.8676 4.6106 6.0677
Al 0.9894 1.3587 2.7398
Al -2.2144 0.0000 6.0259
Al 4.3111 4.5996 1.4089
Al 2.9055 0.0000 1.3285
Al 0.9894 -1.3587 2.7398
Al -0.8676 -4.6106 6.0677
Al 7.5757 1.3391 0.0875
Al 0.9956 -5.9679 4.7182
Al 4.3111 -4.5996 1.4089
Al 7.5757 -1.3391 0.0875
Zn 0.2944 0.0000 5.0575
```

The value obtained for the density is 2.3 Mg/m³.

***

Most stable one: iii), least stable one: ii).

***

i) The following is a DFT calculation (SCAN) of Mg16ZrAl12 at its PBEsol-relaxed geometry.

extended XYZ file:
```
29
Lattice="5.2307 -7.4358 0.0000 5.2307 7.4358 0.0000 -5.0433 0.0000 7.3341" Properties=species:S:1:pos:R:3 pbc="T T T"
Mg 0.0000 0.0000 0.0000
Mg -1.3794 2.3779 4.4540
Mg 1.5395 4.4383 2.3200
Mg -1.7433 0.0000 2.6154
Mg 1.6327 2.9383 5.0335
Mg 4.7828 2.1477 0.0439
Mg -1.3794 -2.3779 4.4540
Mg 1.9661 4.9048 7.2846
Mg 0.5562 0.0000 5.3130
Mg 3.8371 2.3415 2.9253
Mg 1.5395 -4.4383 2.3200
Mg 4.7828 -2.1477 0.0439
Mg 3.5674 0.0000 4.7607
Mg 1.6327 -2.9383 5.0335
Mg 3.8371 -2.3415 2.9253
Mg 1.9661 -4.9048 7.2846
Zr 5.7475 0.0000 2.0508
Al -0.8126 4.7194 6.0241
Al 0.9979 1.3672 2.6972
Al -2.2356 0.0000 6.0134
Al 4.3175 4.7452 1.3971
Al 0.9979 -1.3672 2.6972
Al 2.9812 0.0000 1.3600
Al -0.8126 -4.7194 6.0241
Al 7.5451 1.3280 0.0577
Al 6.2715 1.3624 4.5901
Al 7.5451 -1.3280 0.0577
Al 4.3175 -4.7452 1.3971
Al 6.2715 -1.3624 4.5901
```

The value obtained for the density is 2.3 Mg/m³.

***

ii) The following is a DFT calculation (SCAN) of Mg16ZrAl12 at its PBEsol-relaxed geometry.

extended XYZ file:
```
29
Lattice="7.4788 4.3179 2.9152 -7.4788 4.3179 2.9152 0.0000 -8.6357 2.9152" Properties=species:S:1:pos:R:3 pbc="T T T"
Mg 0.0000 0.0000 0.0000
Mg -2.3334 -3.8894 2.7023
Mg -4.5351 -0.0760 2.7023
Mg 0.0000 -2.9330 1.0678
Mg -2.5400 1.4665 1.0678
Mg -3.0316 -1.7503 4.8382
Mg 2.3334 -3.8894 2.7023
Mg -2.2017 3.9655 2.7023
Mg 2.5401 1.4665 1.0678
Mg 0.0000 -2.8179 4.4501
Mg -2.4404 1.4090 4.4501
Mg 4.5351 -0.0761 2.7023
Mg 2.2017 3.9655 2.7023
Mg 3.0316 -1.7503 4.8382
Mg 0.0000 3.5006 4.8382
Mg 2.4404 1.4090 4.4501
Zr 0.0000 0.0000 5.5323
Al 0.0000 -5.4887 3.5599
Al -4.7534 2.7444 3.5599
Al -1.3586 -0.7844 2.7970
Al 1.3586 -0.7844 2.7970
Al 0.0000 1.5688 2.7970
Al -1.3261 -2.3288 7.1383
Al -2.6798 0.0159 7.1383
Al 1.3262 -2.3288 7.1383
Al -1.3537 2.3129 7.1383
Al 4.7534 2.7444 3.5599
Al 2.6799 0.0159 7.1383
Al 1.3537 2.3129 7.1383
```

The value obtained for the density is 2.4 Mg/m³.

***

Most stable one: ii), least stable one: i).

***

i) The following is a DFT calculation (SCAN) of Mn5Al at its PBEsol-relaxed geometry.

extended XYZ file:
```
12
Lattice="8.9292 0.0000 0.0000 0.0000 2.7927 0.0000 -1.6930 0.0000 5.2555" Properties=species:S:1:pos:R:3 pbc="T T T"
Mn 0.0000 0.0000 0.0000
Mn 0.9908 1.3964 1.7559
Mn 0.1362 1.3964 4.4216
Mn 2.6354 0.0000 0.8339
Mn 1.7808 0.0000 3.4995
Mn 4.4646 1.3964 0.0000
Mn 5.4554 0.0000 1.7559
Mn 4.6008 0.0000 4.4216
Mn 7.1000 1.3964 0.8339
Mn 6.2454 1.3964 3.4995
Al -0.8465 0.0000 2.6277
Al 3.6181 1.3964 2.6277
```

The value obtained for the density is 7.6 Mg/m³.

***

ii) The following is a DFT calculation (SCAN) of Mn5Al at its PBEsol-relaxed geometry.

extended XYZ file:
```
12
Lattice="2.7721 0.0000 0.0000 0.0000 11.9523 0.0000 0.0000 0.0000 3.9755" Properties=species:S:1:pos:R:3 pbc="T T T"
Mn 0.0000 0.0000 0.0000
Mn 0.0000 2.0798 1.9877
Mn 0.0000 4.0381 0.0000
Mn 0.0000 7.9142 0.0000
Mn 0.0000 9.8725 1.9877
Mn 1.3861 1.9381 0.0000
Mn 1.3861 3.8963 1.9877
Mn 1.3861 5.9762 0.0000
Mn 1.3861 8.0560 1.9877
Mn 1.3861 10.0142 0.0000
Al 0.0000 5.9762 1.9877
Al 1.3861 0.0000 1.9877
```

The value obtained for the density is 7.6 Mg/m³.

***

Most stable one: ii), least stable one: i).